[1]
Below is a geometry-optimized Sm2Y5 structure, with properties calculated at the PBE level.

The structure in POSCAR format:
```
Sm2Y5
1.0
7.923 -3.170 0.000
7.923 3.170 0.000
-0.961 0.000 9.238
Sm Y
4 10
direct
0.095 0.761 0.893
0.239 0.905 0.607
0.761 0.095 0.393
0.905 0.239 0.107
0.049 0.380 0.822
0.190 0.522 0.535
0.333 0.667 0.250
0.380 0.049 0.322
0.478 0.810 0.965
0.522 0.190 0.035
0.620 0.951 0.678
0.667 0.333 0.750
0.810 0.478 0.465
0.951 0.620 0.178
```

Space group = C2/c (15)
DFT formation energy = 6 meV/atom


[2]
Below is a geometry-optimized Nb2SiPt structure, with properties calculated at the PBE level.

The structure in POSCAR format:
```
Nb2SiPt
1.0
-3.576 3.576 2.737
3.576 -3.576 2.737
3.576 3.576 -2.737
Nb Si Pt
4 2 2
direct
0.116 0.625 0.991
0.375 0.366 0.491
0.634 0.125 0.009
0.875 0.884 0.509
0.000 0.000 0.000
0.750 0.250 0.500
0.250 0.750 0.500
0.500 0.500 0.000
```

Space group = I-42d (122)
Uncorrected formation energy = -0.145 eV per atom


no.,ρ (g/cm3),calculated volume (Å³ per cell),size of the total moment (μB per cell)
1,5.3,464,0.00
2,9.7,140,0.00